(1)
Computed, not measured: a relaxed Y2ZnPb crystal at the PBE level of DFT.

The calculation puts the total energy at -4.81 eV per atom.

It has space group I-4m2 (No. 119), with a = 4.417 Å, b = 4.417 Å, c = 10.787 Å, α = 90.00°, β = 90.00° and γ = 90.00°. The distinct sites, in fractional coordinates, are Y at (0.000, 0.000, 0.000), Y at (0.000, 0.500, 0.250), Zn at (0.000, 0.500, 0.750) and Pb at (0.000, 0.000, 0.500).



(2)
Computed, not measured: a relaxed YZnPb2 crystal at the PBE level of DFT.

The calculation puts the total energy at -3.90 eV per atom.

It has space group C2/m (No. 12), with a = 6.585 Å, b = 10.747 Å, c = 3.542 Å, α = 90.00°, β = 120.03° and γ = 90.00°. The distinct sites, in fractional coordinates, are Y at (0.000, 0.000, 0.000), Zn at (0.000, 0.500, 0.000) and Pb at (0.250, 0.250, 0.500).



(3)
Computed, not measured: a relaxed Y2ZnPb crystal at the PBE level of DFT.

The calculation puts the total energy at -4.75 eV per atom.

It has space group R-3m (No. 166, hexagonal axes), with a = 3.7329 Å, b = 3.7329 Å, c = 27.5294 Å, α = 90.00°, β = 90.00° and γ = 120.00°. The distinct sites, in fractional coordinates, are Y at (0.0000, 0.0000, 0.2429), Zn at (0.0000, 0.0000, 0.5000) and Pb at (0.0000, 0.0000, 0.0000).



(4)
Computed, not measured: a relaxed YZn3Pb crystal at the PBE level of DFT.

The energy relative to the lowest polymorph listed for this composition is 0.000 eV per atom. The calculation puts the total energy at -2.26 eV per atom.

It has space group Pm-3m (No. 221), with a = 5.179 Å, b = 5.179 Å, c = 5.179 Å, α = 90.00°, β = 90.00° and γ = 90.00°. The distinct sites, in fractional coordinates, are Y at (0.000, 0.000, 0.000), Zn at (0.000, 0.500, 0.500) and Pb at (0.500, 0.500, 0.500).



(5)
Computed, not measured: a relaxed Y12Zn6Pb crystal at the PBE level of DFT.

The calculation puts the total energy at -4.92 eV per atom.

It has space group Im-3 (No. 204), with a = 10.070 Å, b = 10.070 Å, c = 10.070 Å, α = 90.00°, β = 90.00° and γ = 90.00°. The distinct sites, in fractional coordinates, are Y at (0.000, 0.293, 0.192), Zn at (0.000, 0.123, 0.500) and Pb at (0.000, 0.000, 0.000).



(6)
Computed, not measured: a relaxed YZnPb2 crystal at the PBE level of DFT.

The calculation puts the total energy at -4.05 eV per atom.

It has space group P4/mmm (No. 123), with a = 4.764 Å, b = 4.764 Å, c = 4.493 Å, α = 90.00°, β = 90.00° and γ = 90.00°. The distinct sites, in fractional coordinates, are Y at (0.000, 0.000, 0.000), Zn at (0.500, 0.500, 0.000) and Pb at (0.000, 0.500, 0.500).



(7)
Computed, not measured: a relaxed Y2ZnPb2 crystal at the PBE level of DFT.

The energy relative to the lowest polymorph listed for this composition is 0.047 eV per atom. The calculation puts the total energy at -4.61 eV per atom.

It has space group P4/mbm (No. 127), with a = 7.883 Å, b = 7.883 Å, c = 4.588 Å, α = 90.00°, β = 90.00° and γ = 90.00°. The distinct sites, in fractional coordinates, are Y at (0.165, 0.335, 0.000), Zn at (0.000, 0.000, 0.000) and Pb at (0.143, 0.643, 0.500).



(8)
Computed, not measured: a relaxed Y2ZnPb crystal at the PBE level of DFT.

The calculation puts the total energy at -4.87 eV per atom.

It has space group P4/mmm (No. 123), with a = 4.970 Å, b = 4.970 Å, c = 4.151 Å, α = 90.00°, β = 90.00° and γ = 90.00°. The distinct sites, in fractional coordinates, are Y at (0.000, 0.500, 0.000), Zn at (0.000, 0.000, 0.500) and Pb at (0.500, 0.500, 0.500).



Number 1: Fermi-level density of states 6.08 states/eV/cell. Number 2: Fermi-level density of states 3.74 states/eV/cell. Number 3: Fermi-level density of states 8.84 states/eV/cell. Number 4: Fermi-level density of states 2.92 states/eV/cell. Number 5: Fermi-level density of states 30.17 states/eV/cell. Number 6: Fermi-level density of states 1.78 states/eV/cell. Number 7: Fermi-level density of states 5.47 states/eV/cell. Number 8: Fermi-level density of states 3.19 states/eV/cell.